--- i ---
# PBE SnPd3Cl, relaxed
data_SnPd3Cl
_chemical_formula_sum 'Sn1 Pd3 Cl1'
_cell_length_a 4.664
_cell_length_b 4.664
_cell_length_c 4.664
_cell_angle_alpha 90.00
_cell_angle_beta 90.00
_cell_angle_gamma 90.00
_symmetry_space_group_name_H-M 'P m -3 m'
_symmetry_Int_Tables_number 221
_symmetry_space_group_name_Hall '-P 4 2 3'
loop_
_atom_site_label
_atom_site_fract_x
_atom_site_fract_y
_atom_site_fract_z
Sn1 0.000 0.000 0.000
Pd1 0.000 0.500 0.500
Cl1 0.500 0.500 0.500
# - D(E_F) (states/eV per atom) = 0.55
# - volume (Å³/cell) = 101.4
# - total magnetization (μB per formula unit) = 0.000



--- ii ---
# PBE SnPd3Cl, relaxed
data_SnPd3Cl
_chemical_formula_sum 'Sn1 Pd3 Cl1'
_cell_length_a 5.009
_cell_length_b 5.009
_cell_length_c 5.009
_cell_angle_alpha 90.00
_cell_angle_beta 90.00
_cell_angle_gamma 90.00
_symmetry_space_group_name_H-M 'P m -3 m'
_symmetry_Int_Tables_number 221
_symmetry_space_group_name_Hall '-P 4 2 3'
loop_
_atom_site_label
_atom_site_fract_x
_atom_site_fract_y
_atom_site_fract_z
Sn1 0.000 0.000 0.000
Pd1 0.000 0.000 0.500
Cl1 0.500 0.500 0.500
# - D(E_F) (states/eV per atom) = 0.24
# - volume (Å³/cell) = 125.7
# - total magnetization (μB per formula unit) = 0.000



Result of the stability comparison: ii is the least stable of them.



--- i ---
# PBE Sn3PdCl, relaxed
data_Sn3PdCl
_chemical_formula_sum 'Sn3 Pd1 Cl1'
_cell_length_a 5.272
_cell_length_b 5.272
_cell_length_c 5.272
_cell_angle_alpha 90.00
_cell_angle_beta 90.00
_cell_angle_gamma 90.00
_symmetry_space_group_name_H-M 'P m -3 m'
_symmetry_Int_Tables_number 221
_symmetry_space_group_name_Hall '-P 4 2 3'
loop_
_atom_site_label
_atom_site_fract_x
_atom_site_fract_y
_atom_site_fract_z
Sn1 0.000 0.000 0.500
Pd1 0.500 0.500 0.500
Cl1 0.000 0.000 0.000
# - D(E_F) (states/eV per atom) = 1.02
# - volume (Å³/cell) = 146.5
# - total magnetization (μB per formula unit) = 0.000



--- ii ---
# PBE Sn3PdCl, relaxed
data_Sn3PdCl
_chemical_formula_sum 'Sn3 Pd1 Cl1'
_cell_length_a 5.266
_cell_length_b 5.266
_cell_length_c 5.266
_cell_angle_alpha 90.00
_cell_angle_beta 90.00
_cell_angle_gamma 90.00
_symmetry_space_group_name_H-M 'P m -3 m'
_symmetry_Int_Tables_number 221
_symmetry_space_group_name_Hall '-P 4 2 3'
loop_
_atom_site_label
_atom_site_fract_x
_atom_site_fract_y
_atom_site_fract_z
Sn1 0.000 0.000 0.500
Pd1 0.000 0.000 0.000
Cl1 0.500 0.500 0.500
# - D(E_F) (states/eV per atom) = 0.80
# - volume (Å³/cell) = 146.0
# - total magnetization (μB per formula unit) = 0.000



Result of the stability comparison: i is the least stable of them.



--- i ---
# PBE SrPd2Cl2, relaxed
data_SrPd2Cl2
_chemical_formula_sum 'Sr2 Pd4 Cl4'
_cell_length_a 5.110
_cell_length_b 5.110
_cell_length_c 8.658
_cell_angle_alpha 90.00
_cell_angle_beta 90.00
_cell_angle_gamma 90.00
_symmetry_space_group_name_H-M 'I 4/m m m'
_symmetry_Int_Tables_number 139
_symmetry_space_group_name_Hall '-I 4 2'
loop_
_atom_site_label
_atom_site_fract_x
_atom_site_fract_y
_atom_site_fract_z
Sr1 0.000 0.000 0.000
Pd1 0.000 0.000 0.340
Cl1 0.000 0.500 0.250
# - D(E_F) (states/eV per atom) = 0.47
# - volume (Å³/cell) = 226.1
# - total magnetization (μB per formula unit) = 0.000



--- ii ---
# PBE SrPd2Cl2, relaxed
data_SrPd2Cl2
_chemical_formula_sum 'Sr2 Pd4 Cl4'
_cell_length_a 7.507
_cell_length_b 7.507
_cell_length_c 4.561
_cell_angle_alpha 90.00
_cell_angle_beta 90.00
_cell_angle_gamma 90.00
_symmetry_space_group_name_H-M 'P 4/m b m'
_symmetry_Int_Tables_number 127
_symmetry_space_group_name_Hall '-P 4 2ab'
loop_
_atom_site_label
_atom_site_fract_x
_atom_site_fract_y
_atom_site_fract_z
Sr1 0.000 0.000 0.000
Pd1 0.131 0.369 0.000
Cl1 0.193 0.307 0.500
# - D(E_F) (states/eV per atom) = 0.00
# - volume (Å³/cell) = 257.0
# - total magnetization (μB per formula unit) = 0.000



Result of the stability comparison: i is the least stable of them.



--- i ---
# PBE Sr2PdCl, relaxed
data_Sr2PdCl
_chemical_formula_sum 'Sr2 Pd1 Cl1'
_cell_length_a 3.721
_cell_length_b 3.721
_cell_length_c 8.122
_cell_angle_alpha 90.00
_cell_angle_beta 90.00
_cell_angle_gamma 90.00
_symmetry_space_group_name_H-M 'P 4/m m m'
_symmetry_Int_Tables_number 123
_symmetry_space_group_name_Hall '-P 4 2'
loop_
_atom_site_label
_atom_site_fract_x
_atom_site_fract_y
_atom_site_fract_z
Sr1 0.000 0.000 0.225
Pd1 0.500 0.500 0.000
Cl1 0.500 0.500 0.500
# - D(E_F) (states/eV per atom) = 0.43
# - volume (Å³/cell) = 112.5
# - total magnetization (μB per formula unit) = 0.000



--- ii ---
# PBE Sr2PdCl, relaxed
data_Sr2PdCl
_chemical_formula_sum 'Sr6 Pd3 Cl3'
_cell_length_a 4.3042
_cell_length_b 4.3042
_cell_length_c 23.3470
_cell_angle_alpha 90.00
_cell_angle_beta 90.00
_cell_angle_gamma 120.00
_symmetry_space_group_name_H-M 'R -3 m'
_symmetry_Int_Tables_number 166
_symmetry_space_group_name_Hall '-R 3 2"'
loop_
_atom_site_label
_atom_site_fract_x
_atom_site_fract_y
_atom_site_fract_z
Sr1 0.0000 0.0000 0.2413
Pd1 0.0000 0.0000 0.5000
Cl1 0.0000 0.0000 0.0000
# - D(E_F) (states/eV per atom) = 0.54
# - volume (Å³/cell) = 374.6
# - total magnetization (μB per formula unit) = 0.000



--- iii ---
# PBE Sr2PdCl, relaxed
data_Sr2PdCl
_chemical_formula_sum 'Sr8 Pd4 Cl4'
_cell_length_a 6.860
_cell_length_b 6.860
_cell_length_c 13.542
_cell_angle_alpha 90.00
_cell_angle_beta 90.00
_cell_angle_gamma 90.00
_symmetry_space_group_name_H-M 'I -4 2 d'
_symmetry_Int_Tables_number 122
_symmetry_space_group_name_Hall 'I -4 2bw'
loop_
_atom_site_label
_atom_site_fract_x
_atom_site_fract_y
_atom_site_fract_z
Sr1 0.242 0.250 0.125
Pd1 0.000 0.000 0.000
Cl1 0.000 0.000 0.500
# - D(E_F) (states/eV per atom) = 0.60
# - volume (Å³/cell) = 637.3
# - total magnetization (μB per formula unit) = 0.000



Result of the stability comparison: iii is the least stable of them.



--- i ---
# PBE Sr2PdCl, relaxed
data_Sr2PdCl
_chemical_formula_sum 'Sr6 Pd3 Cl3'
_cell_length_a 4.2743
_cell_length_b 4.2743
_cell_length_c 23.8865
_cell_angle_alpha 90.00
_cell_angle_beta 90.00
_cell_angle_gamma 120.00
_symmetry_space_group_name_H-M 'R 3 m'
_symmetry_Int_Tables_number 160
_symmetry_space_group_name_Hall 'R 3 -2"'
loop_
_atom_site_label
_atom_site_fract_x
_atom_site_fract_y
_atom_site_fract_z
Sr1 0.0000 0.0000 0.0000
Sr2 0.0000 0.0000 0.1869
Pd1 0.0000 0.0000 0.5933
Cl1 0.0000 0.0000 0.4238
# - D(E_F) (states/eV per atom) = 0.46
# - volume (Å³/cell) = 377.9
# - total magnetization (μB per formula unit) = 0.000



--- ii ---
# PBE Sr2PdCl, relaxed
data_Sr2PdCl
_chemical_formula_sum 'Sr8 Pd4 Cl4'
_cell_length_a 7.641
_cell_length_b 7.641
_cell_length_c 7.641
_cell_angle_alpha 90.00
_cell_angle_beta 90.00
_cell_angle_gamma 90.00
_symmetry_space_group_name_H-M 'F m -3 m'
_symmetry_Int_Tables_number 225
_symmetry_space_group_name_Hall '-F 4 2 3'
loop_
_atom_site_label
_atom_site_fract_x
_atom_site_fract_y
_atom_site_fract_z
Sr1 0.250 0.250 0.250
Pd1 0.000 0.000 0.000
Cl1 0.000 0.000 0.500
# - D(E_F) (states/eV per atom) = 0.80
# - volume (Å³/cell) = 446.1
# - total magnetization (μB per formula unit) = 0.000



Result of the stability comparison: ii is the least stable of them.



--- i ---
# PBE SrPdCl5, relaxed
data_SrPdCl5
_chemical_formula_sum 'Sr4 Pd4 Cl20'
_cell_length_a 13.862
_cell_length_b 6.601
_cell_length_c 9.808
_cell_angle_alpha 90.00
_cell_angle_beta 110.52
_cell_angle_gamma 90.00
_symmetry_space_group_name_H-M 'C 1 2/c 1'
_symmetry_Int_Tables_number 15
_symmetry_space_group_name_Hall '-C 2yc'
loop_
_atom_site_label
_atom_site_fract_x
_atom_site_fract_y
_atom_site_fract_z
Sr1 0.000 0.045 0.250
Pd1 0.000 0.500 0.000
Cl1 0.000 0.408 0.750
Cl2 0.124 0.245 0.525
Cl3 0.129 0.257 0.106
# - volume (Å³/cell) = 840.5
# - total magnetization (μB per formula unit) = 0.000



--- ii ---
# PBE SrPdCl5, relaxed
data_SrPdCl5
_chemical_formula_sum 'Sr4 Pd4 Cl20'
_cell_length_a 11.569
_cell_length_b 7.772
_cell_length_c 10.175
_cell_angle_alpha 90.00
_cell_angle_beta 116.64
_cell_angle_gamma 90.00
_symmetry_space_group_name_H-M 'C 1 2/c 1'
_symmetry_Int_Tables_number 15
_symmetry_space_group_name_Hall '-C 2yc'
loop_
_atom_site_label
_atom_site_fract_x
_atom_site_fract_y
_atom_site_fract_z
Sr1 0.000 0.071 0.250
Pd1 0.000 0.500 0.000
Cl1 0.000 0.454 0.250
Cl2 0.016 0.200 0.983
Cl3 0.226 0.482 0.619
# - volume (Å³/cell) = 817.7
# - total magnetization (μB per formula unit) = 0.000



Result of the stability comparison: ii is the least stable of them.



--- i ---
# PBE TaPdCl2, relaxed
data_TaPdCl2
_chemical_formula_sum 'Ta4 Pd4 Cl8'
_cell_length_a 6.354
_cell_length_b 6.354
_cell_length_c 6.354
_cell_angle_alpha 90.00
_cell_angle_beta 90.00
_cell_angle_gamma 90.00
_symmetry_space_group_name_H-M 'F m -3 m'
_symmetry_Int_Tables_number 225
_symmetry_space_group_name_Hall '-F 4 2 3'
loop_
_atom_site_label
_atom_site_fract_x
_atom_site_fract_y
_atom_site_fract_z
Ta1 0.000 0.000 0.000
Pd1 0.000 0.000 0.500
Cl1 0.250 0.250 0.250
# - D(E_F) (states/eV per atom) = 0.45
# - volume (Å³/cell) = 256.5
# - total magnetization (μB per formula unit) = 0.000



--- ii ---
# PBE TaPdCl2, relaxed
data_TaPdCl2
_chemical_formula_sum 'Ta4 Pd4 Cl8'
_cell_length_a 8.757
_cell_length_b 8.757
_cell_length_c 5.140
_cell_angle_alpha 90.00
_cell_angle_beta 90.00
_cell_angle_gamma 90.00
_symmetry_space_group_name_H-M 'I -4 2 d'
_symmetry_Int_Tables_number 122
_symmetry_space_group_name_Hall 'I -4 2bw'
loop_
_atom_site_label
_atom_site_fract_x
_atom_site_fract_y
_atom_site_fract_z
Ta1 0.000 0.000 0.000
Pd1 0.000 0.000 0.500
Cl1 0.105 0.750 0.125
# - D(E_F) (states/eV per atom) = 0.54
# - volume (Å³/cell) = 394.2
# - total magnetization (μB per formula unit) = 1.151



Result of the stability comparison: i is the least stable of them.



--- i ---
# PBE TaPdCl3, relaxed
data_TaPdCl3
_chemical_formula_sum 'Ta1 Pd1 Cl3'
_cell_length_a 4.855
_cell_length_b 4.855
_cell_length_c 4.855
_cell_angle_alpha 90.00
_cell_angle_beta 90.00
_cell_angle_gamma 90.00
_symmetry_space_group_name_H-M 'P m -3 m'
_symmetry_Int_Tables_number 221
_symmetry_space_group_name_Hall '-P 4 2 3'
loop_
_atom_site_label
_atom_site_fract_x
_atom_site_fract_y
_atom_site_fract_z
Ta1 0.000 0.000 0.000
Pd1 0.500 0.500 0.500
Cl1 0.000 0.500 0.500
# - D(E_F) (states/eV per atom) = 1.32
# - volume (Å³/cell) = 114.4
# - total magnetization (μB per formula unit) = 3.404



--- ii ---
# PBE TaPdCl3, relaxed
data_TaPdCl3
_chemical_formula_sum 'Ta1 Pd1 Cl3'
_cell_length_a 4.824
_cell_length_b 4.824
_cell_length_c 4.824
_cell_angle_alpha 90.00
_cell_angle_beta 90.00
_cell_angle_gamma 90.00
_symmetry_space_group_name_H-M 'P m -3 m'
_symmetry_Int_Tables_number 221
_symmetry_space_group_name_Hall '-P 4 2 3'
loop_
_atom_site_label
_atom_site_fract_x
_atom_site_fract_y
_atom_site_fract_z
Ta1 0.000 0.000 0.000
Pd1 0.500 0.500 0.500
Cl1 0.000 0.000 0.500
# - D(E_F) (states/eV per atom) = 0.55
# - volume (Å³/cell) = 112.3
# - total magnetization (μB per formula unit) = 0.000



Result of the stability comparison: i is the least stable of them.